Record 1
# Pm6Dy2Y5 | the Alexandria database | PBE-GGA | relaxed
data_Pm6Dy2Y5
_space_group_name_H-M_alt 'P b a m'
_space_group_IT_number 55
_cell_length_a 11.717
_cell_length_b 20.599
_cell_length_c 3.634
_cell_angle_alpha 90.00
_cell_angle_beta 90.00
_cell_angle_gamma 90.00
loop_
_space_group_symop_operation_xyz
'x,y,z'
'-x,-y,-z'
'-x,-y,z'
'x,y,-z'
'x+1/2,-y+1/2,-z'
'-x+1/2,y+1/2,z'
'-x+1/2,y+1/2,-z'
'x+1/2,-y+1/2,z'
loop_
_atom_site_label
_atom_site_fract_x
_atom_site_fract_y
_atom_site_fract_z
_atom_site_occupancy
Pm1 0.063 0.079 0.000 1
Pm2 0.081 0.366 0.000 1
Pm3 0.172 0.635 0.500 1
Dy1 0.168 0.788 0.000 1
Y1 0.000 0.500 0.500 1
Y2 0.091 0.225 0.500 1
Y3 0.198 0.943 0.500 1
# uncorrected energy	-5.288	eV per atom
# N(E_F)	31.50	states/eV per cell

Record 2
# TbCeZrN3 | the Alexandria database | PBE-GGA | relaxed
data_TbCeZrN3
_space_group_name_H-M_alt 'P 1 21/m 1'
_space_group_IT_number 11
_cell_length_a 5.899
_cell_length_b 3.428
_cell_length_c 8.901
_cell_angle_alpha 90.00
_cell_angle_beta 102.50
_cell_angle_gamma 90.00
loop_
_space_group_symop_operation_xyz
'x,y,z'
'-x,-y,-z'
'-x,y+1/2,-z'
'x,-y+1/2,z'
loop_
_atom_site_label
_atom_site_fract_x
_atom_site_fract_y
_atom_site_fract_z
_atom_site_occupancy
Tb1 0.231 0.250 0.453 1
Ce1 0.351 0.750 0.811 1
Zr1 0.137 0.750 0.137 1
N1 0.047 0.250 0.667 1
N2 0.247 0.250 0.010 1
N3 0.446 0.750 0.323 1
# uncorrected energy	-8.877	eV per atom
# formation energy without anion corrections	-885	kJ/mol of formula units
# N(E_F)	7.97	states/eV per cell

Record 3
# LiMgB2Pt | the Alexandria database | PBE-GGA | relaxed
data_LiMgB2Pt
_space_group_name_H-M_alt 'P 4/m m m'
_space_group_IT_number 123
_space_group_name_Hall '-P 4 2'
_cell_length_a 4.118
_cell_length_b 4.118
_cell_length_c 5.103
_cell_angle_alpha 90.00
_cell_angle_beta 90.00
_cell_angle_gamma 90.00
loop_
_atom_site_label
_atom_site_fract_x
_atom_site_fract_y
_atom_site_fract_z
_atom_site_occupancy
Li1 0.000 0.000 0.000 1
Mg1 0.500 0.500 0.000 1
B1 0.000 0.500 0.500 1
Pt1 0.500 0.500 0.500 1
# uncorrected energy	-4.141	eV per atom
# N(E_F)	2.92	states/eV per cell